Run w
Below is crystalline KTlSnAu at its relaxed geometry, with properties calculated at the PBE level.

a = 5.3589 Å, b = 5.3589 Å, c = 5.3589 Å
α = 60.00°, β = 60.00°, γ = 60.00°
Last column: nearest neighbours and their distance in Å.
Fractional coordinates of all 4 atoms:
K  0.7500  0.7500  0.7500  4 Au 3.28, 4 Tl 3.28
Tl  0.0000  0.0000  0.0000  4 Sn 3.28, 4 K 3.28
Au  0.5000  0.5000  0.5000  4 K 3.28, 4 Sn 3.28
Sn  0.2500  0.2500  0.2500  4 Au 3.28, 4 Tl 3.28

Summary:
The space group is No. 216. The value obtained for the density of states at the Fermi level is 0.84 states/eV/atom. For the total magnetic moment, the calculation gives 0.0 μB per formula unit.

=====

Run x
Below is crystalline KTlSnAu at its relaxed geometry, with properties calculated at the PBE level.

a = 4.6715 Å, b = 4.6715 Å, c = 7.3933 Å
α = 71.58°, β = 71.58°, γ = 60.00°
Last column: nearest neighbours and their distance in Å.
Fractional coordinates of all 4 atoms:
K  0.8119  0.8119  0.5643  3 Sn 3.60, 3 Tl 3.60
Tl  0.0295  0.0295  0.9116  3 Au 3.08, 3 Sn 3.42
Sn  0.5940  0.5940  0.2181  3 Au 2.77
Au  0.2905  0.2905  0.1284  3 Sn 2.77, 3 Tl 3.08

Summary:
The space group is No. 160. The value obtained for the density of states at the Fermi level is 0.37 states/eV/atom. For the total magnetic moment, the calculation gives 0.0 μB per formula unit.

=====

Most stable structure: run x